DFT (PBE-GGA) results for Ta2CuHg after structural relaxation.

```
Ta2CuHg
1.0
1.450 0.837 9.750
-1.450 0.837 9.750
0.000 -1.674 9.750
Ta Cu Hg
2 1 1
Direct
0.244 0.244 0.244
0.756 0.756 0.756
0.500 0.500 0.500
0.000 0.000 0.000
```

Summary:
density of states at the Fermi level	2.63	states/eV/cell

=====

DFT (PBE-GGA) results for Ta2CuHg after structural relaxation.

```
Ta2CuHg
1.0
-2.030 2.030 4.177
2.030 -2.030 4.177
2.030 2.030 -4.177
Ta Cu Hg
2 1 1
Direct
0.250 0.750 0.500
0.750 0.250 0.500
0.000 0.000 0.000
0.500 0.500 0.000
```

Summary:
density of states at the Fermi level	4.00	states/eV/cell

=====

DFT (PBE-GGA) results for Ta4CuHg after structural relaxation.

```
Ta4CuHg
1.0
0.000 3.863 3.863
3.863 0.000 3.863
3.863 3.863 0.000
Ta Cu Hg
4 1 1
Direct
0.124 0.124 0.124
0.124 0.124 0.627
0.124 0.627 0.124
0.627 0.124 0.124
0.750 0.750 0.750
0.500 0.500 0.500
```

Summary:
density of states at the Fermi level	6.50	states/eV/cell

=====

DFT (PBE-GGA) results for Ta2CuHg after structural relaxation.

```
Ta2CuHg
1.0
5.100 -1.479 0.000
5.100 1.479 0.000
-2.024 0.000 4.633
Ta Cu Hg
2 1 1
Direct
0.000 0.000 0.000
0.246 0.246 0.874
0.514 0.514 0.501
0.768 0.768 0.392
```

Summary:
density of states at the Fermi level	2.62	states/eV/cell

=====

DFT (PBE-GGA) results for TaCuHg3 after structural relaxation.

```
TaCuHg3
1.0
5.417 0.000 0.000
0.000 5.417 0.000
0.000 0.000 5.417
Ta Cu Hg
1 1 3
Direct
0.000 0.000 0.000
0.500 0.500 0.500
0.000 0.000 0.500
0.000 0.500 0.000
0.500 0.000 0.000
```

Summary:
density of states at the Fermi level	5.82	states/eV/cell

=====

DFT (PBE-GGA) results for TaCuHg3 after structural relaxation.

```
TaCuHg3
1.0
4.809 0.000 0.000
0.000 4.809 0.000
0.000 0.000 4.809
Ta Cu Hg
1 1 3
Direct
0.000 0.000 0.000
0.500 0.500 0.500
0.000 0.500 0.500
0.500 0.000 0.500
0.500 0.500 0.000
```

Summary:
density of states at the Fermi level	3.21	states/eV/cell

=====

Short version: M_tot = 0.00 0.00 0.00 0.00 0.00 0.00 μB per formula unit, in the order given.
Short version: energy of formation from the pure elements = 0.371 0.292 0.644 0.314 1.223 1.058 eV/atom, in the order given.